Compound: CsPuBr4
Source: Alexandria
Functional: GGA-PBE
Structure: relaxed

abc: 10.673 4.273 9.270
angles: 90.00 90.00 90.00
Space group Pmma (No. 51)
Inequivalent atoms, fractional coordinates:
Cs 0.250 0.000 0.114
Pu 0.250 0.000 0.639
Br 0.000 0.000 0.500
Br 0.092 0.500 0.810
Br 0.250 0.500 0.424

Results
For the total moment, the calculation gives 10.00 μB/cell. The formation energy without anion corrections comes out at -1.495 eV per atom. As for the calculated total energy: -61.700 eV/cell.

=====

Compound: InRuBr2
Source: Alexandria
Functional: GGA-PBE
Structure: relaxed

abc: 7.291 7.291 7.291
angles: 90.00 90.00 90.00
Space group F-43m (No. 216)
Inequivalent atoms, fractional coordinates:
In 0.000 0.000 0.000
Ru 0.250 0.250 0.750
Br 0.000 0.000 0.500
Br 0.250 0.250 0.250

Results
For the total moment, the calculation gives 11.04 μB/cell. The formation energy without anion corrections comes out at 0.710 eV per atom. As for the calculated total energy: -50.080 eV/cell.

=====

Compound: LiGaCl2
Source: Alexandria
Functional: GGA-PBE
Structure: relaxed

abc: 3.7844 3.7844 23.7898
angles: 90.00 90.00 120.00
Space group R-3m (No. 166, hexagonal axes)
Inequivalent atoms, fractional coordinates:
Li 0.0000 0.0000 0.0000
Ga 0.0000 0.0000 0.5000
Cl 0.0000 0.0000 0.3916

Results
For the total moment, the calculation gives 0.00 μB/cell. The formation energy without anion corrections comes out at -1.042 eV per atom. As for the calculated total energy: -38.404 eV/cell.

=====

Compound: Pu2Bi2Au15
Source: Alexandria
Functional: GGA-PBE
Structure: relaxed

abc: 9.9901 9.9901 14.0492
angles: 90.00 90.00 120.00
Space group R-3m (No. 166, hexagonal axes)
Inequivalent atoms, fractional coordinates:
Pu 0.0000 0.0000 0.1397
Bi 0.0000 0.0000 0.3904
Au 0.0000 0.3403 0.5000
Au 0.0000 0.5000 0.0000
Au 0.0132 0.5066 0.6691

Results
For the total moment, the calculation gives 34.60 μB/cell. As for the calculated total energy: -264.209 eV/cell. The energy of formation from the pure elements is -2.48 eV/f.u.

=====

Please write out number 2 again, unchanged.
Compound: InRuBr2
Source: Alexandria
Functional: GGA-PBE
Structure: relaxed

abc: 7.291 7.291 7.291
angles: 90.00 90.00 90.00
Space group F-43m (No. 216)
Inequivalent atoms, fractional coordinates:
In 0.000 0.000 0.000
Ru 0.250 0.250 0.750
Br 0.000 0.000 0.500
Br 0.250 0.250 0.250

Results
For the total moment, the calculation gives 11.04 μB/cell. The formation energy without anion corrections comes out at 0.710 eV per atom. As for the calculated total energy: -50.080 eV/cell.

=====

calculated total energy of number 3 (LiGaCl2)?
-38.404 eV/cell

=====

total moment of number 3 (LiGaCl2)?
0.00 μB/cell